The following is a PBE calculation of a relaxed Tb8DySn6 crystal, from Alexandria.

Computed properties:
The calculated formation energy comes out at -548 meV per atom.

Unit cell a=9.0633 b=9.0633 c=19.5116 alpha=90.00 beta=90.00 gamma=120.00
Last column: nearest neighbours and their distance in Å.
Space group R-3 (No. 148, hexagonal axes)
Symmetry-distinct sites (fractional):
Tb  0.0000  0.0000  0.1666 (multiplicity 6)  6 Sn 3.29-3.30, 6 Tb 3.66
Tb  0.0003  0.3331  0.7275 (multiplicity 18)  5 Sn 3.11-3.38
Dy  0.0000  0.0000  0.5000 (multiplicity 3)  6 Sn 3.29, 6 Tb 3.66
Sn  0.0001  0.3327  0.5672 (multiplicity 18)  7 Tb 3.11-3.38, 1 Dy 3.29

=====

The following is a PBE calculation of a relaxed Sb2IBrO crystal, from Alexandria.

Computed properties:
Its relative energy among the computed polymorphs is 0 meV per atom.

Unit cell a=4.8987 b=4.8987 c=5.2133 alpha=90.00 beta=90.00 gamma=90.00
Last column: nearest neighbours and their distance in Å.
Space group P4/mmm (No. 123)
Symmetry-distinct sites (fractional):
Sb  0.0000  0.5000  0.0000 (multiplicity 2)  2 O 2.45
I  0.0000  0.0000  0.5000 (multiplicity 1)  2 O 2.61
Br  0.5000  0.5000  0.5000 (multiplicity 1)  4 I 3.46, 8 Sb 3.58
O  0.0000  0.0000  0.0000 (multiplicity 1)  4 Sb 2.45, 2 I 2.61

=====

The following is a PBE calculation of a relaxed KIn2Ru crystal, from Alexandria.

Computed properties:
The calculated formation energy comes out at 251 meV per atom. Its relative energy among the computed polymorphs is 148 meV per atom.

Unit cell a=3.6967 b=3.6967 c=8.3206 alpha=90.00 beta=90.00 gamma=90.00
Last column: nearest neighbours and their distance in Å.
Space group P4mm (No. 99)
Symmetry-distinct sites (fractional):
K  0.0000  0.0000  0.0000 (multiplicity 1)  1 In 3.36, 4 K 3.70
In  0.0000  0.0000  0.4038 (multiplicity 1)  4 Ru 2.66
In  0.5000  0.5000  0.6661 (multiplicity 1)  1 Ru 2.68
Ru  0.5000  0.5000  0.3443 (multiplicity 1)  5 In 2.66-2.68